(1)
Material: Fe2AsRh
Method: DFT, GGA-PBE
State: relaxed

Properties
magnetization: 0.000 Bohr magnetons per cell
formation energy from the elements: 0.47 eV/atom

Lattice parameters (Å, degrees): 3.606 3.606 8.822 78.21 78.21 90.00
Atoms (fractional coordinates):
1 As 0.250 0.750 0.500
2 Fe 0.558 0.125 0.250
3 Rh 0.000 0.000 0.000
4 Fe 0.875 0.808 0.750
5 Fe 0.192 0.625 0.250
6 Rh 0.750 0.250 0.500
7 As 0.500 0.500 0.000
8 Fe 0.375 0.442 0.750

(2)
Material: FeAsRh
Method: DFT, GGA-PBE
State: relaxed

Properties
magnetization: 2.757 Bohr magnetons per cell
formation energy from the elements: -0.03 eV/atom

Lattice parameters (Å, degrees): 5.025 5.026 3.026 72.47 72.49 35.04
Site moments in Bohr magnetons follow the coordinates.
Atoms (fractional coordinates):
1 Fe 0.345 0.345 0.655  2.46
2 As 0.992 0.992 0.008  -0.06
3 Rh 0.662 0.662 0.338  0.38

(3)
Material: Fe2AsRh
Method: DFT, GGA-PBE
State: relaxed

Properties
magnetization: 5.621 Bohr magnetons per cell
formation energy from the elements: 0.02 eV/atom

Lattice parameters (Å, degrees): 4.555 4.555 2.833 90.02 90.02 113.09
Site moments in Bohr magnetons follow the coordinates.
Atoms (fractional coordinates):
1 As 0.000 0.500 0.500  -0.05
2 Fe 0.000 0.000 0.000  2.64
3 Rh 0.500 0.000 0.500  0.43
4 Fe 0.500 0.500 0.000  2.64

(4)
Material: FeAsRh3
Method: DFT, GGA-PBE
State: relaxed

Properties
magnetization: 3.053 Bohr magnetons per cell
formation energy from the elements: 1.01 eV/atom

Lattice parameters (Å, degrees): 4.474 4.474 4.474 90.00 90.00 90.00
Site moments in Bohr magnetons follow the coordinates.
Atoms (fractional coordinates):
1 Rh 0.000 0.000 0.500  0.47
2 Fe 0.000 0.000 0.000  2.26
3 Rh 0.000 0.500 0.000  0.20
4 Rh 0.500 0.000 0.000  0.11
5 As 0.500 0.500 0.500  0.00

(5)
Material: Fe3AsRh
Method: DFT, GGA-PBE
State: relaxed

Properties
magnetization: 8.530 Bohr magnetons per cell
formation energy from the elements: 0.83 eV/atom

Lattice parameters (Å, degrees): 4.336 4.336 4.336 90.00 90.00 90.00
Site moments in Bohr magnetons follow the coordinates.
Atoms (fractional coordinates):
1 Rh 0.500 0.500 0.500  1.04
2 Fe 0.000 0.500 0.000  2.50
3 Fe 0.000 0.000 0.500  2.58
4 As 0.000 0.000 0.000  -0.07
5 Fe 0.500 0.000 0.000  2.59

(6)
Material: Fe2AsRh
Method: DFT, GGA-PBE
State: relaxed

Properties
magnetization: 5.187 Bohr magnetons per cell
formation energy from the elements: 0.15 eV/atom

Lattice parameters (Å, degrees): 8.212 8.212 8.212 19.47 19.47 19.47
Site moments in Bohr magnetons follow the coordinates.
Atoms (fractional coordinates):
1 As 0.750 0.750 0.750  -0.08
2 Fe 0.498 0.498 0.498  2.34
3 Fe 0.002 0.002 0.002  2.34
4 Rh 0.250 0.250 0.250  0.67

(7)
Material: FeAs2Rh
Method: DFT, GGA-PBE
State: relaxed

Properties
magnetization: 2.070 Bohr magnetons per cell
formation energy from the elements: -0.05 eV/atom

Lattice parameters (Å, degrees): 2.999 5.230 5.140 47.40 90.00 90.00
Site moments in Bohr magnetons follow the coordinates.
Atoms (fractional coordinates):
1 As 0.000 0.000 0.000  -0.03
2 Fe 0.500 0.500 0.500  2.17
3 Rh 0.000 0.000 0.500  0.02
4 As 0.500 0.500 0.000  -0.04

(8)
Material: Fe2AsRh
Method: DFT, GGA-PBE
State: relaxed

Properties
magnetization: 5.774 Bohr magnetons per cell
formation energy from the elements: -0.05 eV/atom

Lattice parameters (Å, degrees): 4.219 4.219 4.219 60.00 60.00 60.00
Site moments in Bohr magnetons follow the coordinates.
Atoms (fractional coordinates):
1 Fe 0.000 0.000 0.000  2.93
2 Fe 0.250 0.250 0.250  2.21
3 As 0.500 0.500 0.500  0.03
4 Rh 0.750 0.750 0.750  0.55

(9)
Material: FeAsRh
Method: DFT, GGA-PBE
State: relaxed

Properties
magnetization: 6.984 Bohr magnetons per cell
formation energy from the elements: -0.18 eV/atom

Lattice parameters (Å, degrees): 6.383 6.383 3.650 90.00 90.00 120.00
Site moments in Bohr magnetons follow the coordinates.
Atoms (fractional coordinates):
1 Fe 0.000 0.605 0.500  2.45
2 Rh 0.000 0.265 0.000  -0.01
3 As 0.333 0.667 0.000  -0.06
4 Fe 0.605 0.000 0.500  2.45
5 As 0.000 0.000 0.500  -0.06
6 As 0.667 0.333 0.000  -0.06
7 Rh 0.265 0.000 0.000  -0.01
8 Rh 0.735 0.735 0.000  -0.01
9 Fe 0.395 0.395 0.500  2.45

(10)
Material: Fe2AsRh
Method: DFT, GGA-PBE
State: relaxed

Properties
magnetization: 5.480 Bohr magnetons per cell
formation energy from the elements: -0.06 eV/atom

Lattice parameters (Å, degrees): 4.949 4.949 4.157 65.15 65.15 35.50
Site moments in Bohr magnetons follow the coordinates.
Atoms (fractional coordinates):
1 Fe 0.986 0.986 0.014  2.56
2 As 0.250 0.250 0.250  -0.04
3 Rh 0.750 0.750 0.750  0.44
4 Fe 0.514 0.514 0.486  2.56

(11)
Material: Fe2AsRh
Method: DFT, GGA-PBE
State: relaxed

Properties
magnetization: 5.110 Bohr magnetons per cell
formation energy from the elements: -0.04 eV/atom

Lattice parameters (Å, degrees): 3.644 3.644 3.999 90.00 90.00 90.00
Site moments in Bohr magnetons follow the coordinates.
Atoms (fractional coordinates):
1 Fe 0.000 0.000 0.000  2.59
2 Rh 0.500 0.000 0.500  0.05
3 As 0.000 0.500 0.500  -0.06
4 Fe 0.500 0.500 0.000  2.59

(12)
Material: Fe2AsRh
Method: DFT, GGA-PBE
State: relaxed

Properties
magnetization: 5.689 Bohr magnetons per cell
formation energy from the elements: 0.00 eV/atom

Lattice parameters (Å, degrees): 2.763 3.876 5.041 90.00 90.00 90.00
Site moments in Bohr magnetons follow the coordinates.
Atoms (fractional coordinates):
1 As 0.500 0.500 0.750  -0.03
2 Rh 0.500 0.500 0.250  0.46
3 Fe 0.000 0.000 0.999  2.65
4 Fe 0.000 0.000 0.501  2.65

(13)
Material: FeAs2Rh
Method: DFT, GGA-PBE
State: relaxed

Properties
magnetization: 3.127 Bohr magnetons per cell
formation energy from the elements: 0.29 eV/atom

Lattice parameters (Å, degrees): 4.431 4.431 4.431 60.00 60.00 60.00
Site moments in Bohr magnetons follow the coordinates.
Atoms (fractional coordinates):
1 As 0.250 0.250 0.250  -0.04
2 As 0.000 0.000 0.000  0.03
3 Rh 0.750 0.750 0.750  0.30
4 Fe 0.500 0.500 0.500  2.81

(14)
Material: FeAs2Rh
Method: DFT, GGA-PBE
State: relaxed

Properties
magnetization: 1.822 Bohr magnetons per cell
formation energy from the elements: -0.05 eV/atom

Lattice parameters (Å, degrees): 2.952 2.952 7.543 90.00 90.00 90.00
Site moments in Bohr magnetons follow the coordinates.
Atoms (fractional coordinates):
1 Fe 0.000 0.000 0.502  1.85
2 As 0.500 0.500 0.330  -0.11
3 Rh 0.500 0.500 0.736  0.20
4 As 0.000 0.000 0.932  -0.02

(15)
Material: FeAsRh
Method: DFT, GGA-PBE
State: relaxed

Properties
magnetization: 3.535 Bohr magnetons per cell
formation energy from the elements: -0.10 eV/atom

Lattice parameters (Å, degrees): 4.111 4.111 4.111 60.00 60.00 60.00
Site moments in Bohr magnetons follow the coordinates.
Atoms (fractional coordinates):
1 Rh 0.750 0.750 0.750  0.42
2 Fe 0.500 0.500 0.500  3.04
3 As 0.000 0.000 0.000  -0.01

(16)
Material: FeAs2Rh
Method: DFT, GGA-PBE
State: relaxed

Properties
magnetization: 1.422 Bohr magnetons per cell
formation energy from the elements: -0.13 eV/atom

Lattice parameters (Å, degrees): 4.372 4.372 4.800 77.80 77.80 43.42
Site moments in Bohr magnetons follow the coordinates.
Atoms (fractional coordinates):
1 Fe 0.477 0.477 0.636  1.57
2 As 0.765 0.765 0.618  -0.04
3 As 0.997 0.997 0.024  -0.04
4 Rh 0.261 0.261 0.222  0.01

(17)
Material: FeAs2Rh
Method: DFT, GGA-PBE
State: relaxed

Properties
magnetization: 0.003 Bohr magnetons per cell
formation energy from the elements: 0.05 eV/atom

Lattice parameters (Å, degrees): 5.385 5.385 6.549 65.72 65.72 90.00
Atoms (fractional coordinates):
1 As 0.875 0.853 0.750
2 Rh 0.750 0.250 0.500
3 Rh 0.000 0.000 0.000
4 As 0.147 0.625 0.250
5 As 0.375 0.397 0.750
6 Fe 0.250 0.750 0.500
7 Fe 0.500 0.500 0.000
8 As 0.603 0.125 0.250

(18)
Material: FeAs2Rh
Method: DFT, GGA-PBE
State: relaxed

Properties
magnetization: 2.479 Bohr magnetons per cell
formation energy from the elements: -0.04 eV/atom

Lattice parameters (Å, degrees): 4.339 4.340 3.098 90.00 90.00 90.00
Site moments in Bohr magnetons follow the coordinates.
Atoms (fractional coordinates):
1 Fe 0.500 0.000 0.500  2.30
2 As 0.000 0.000 0.000  -0.01
3 As 0.500 0.500 0.000  -0.01
4 Rh 0.000 0.500 0.500  0.25

(19)
Material: FeAs2Rh2
Method: DFT, GGA-PBE
State: relaxed

Properties
magnetization: 4.859 Bohr magnetons per cell
formation energy from the elements: -0.03 eV/atom

Lattice parameters (Å, degrees): 7.090 7.090 3.005 90.00 90.00 90.00
Site moments in Bohr magnetons follow the coordinates.
Atoms (fractional coordinates):
1 Fe 0.000 0.000 0.000  2.69
2 Rh 0.855 0.355 0.500  -0.06
3 Rh 0.145 0.645 0.500  -0.06
4 Rh 0.355 0.145 0.500  -0.06
5 Fe 0.500 0.500 0.000  2.69
6 As 0.843 0.657 0.000  -0.03
7 As 0.343 0.843 0.000  -0.03
8 As 0.657 0.157 0.000  -0.03
9 As 0.157 0.343 0.000  -0.03
10 Rh 0.645 0.855 0.500  -0.06

(20)
Material: Fe2AsRh
Method: DFT, GGA-PBE
State: relaxed

Properties
magnetization: 5.224 Bohr magnetons per cell
formation energy from the elements: -0.02 eV/atom

Lattice parameters (Å, degrees): 4.313 4.313 4.650 79.87 79.87 39.36
Site moments in Bohr magnetons follow the coordinates.
Atoms (fractional coordinates):
1 Rh 0.497 0.497 0.495  0.29
2 Fe 0.006 0.006 0.986  2.38
3 As 0.251 0.251 0.240  -0.05
4 Fe 0.746 0.746 0.779  2.63